[1]
The following is a PBEsol calculation of crystalline CaCu2Pt2 at its relaxed geometry, from Alexandria.

Unit cell a=3.855 b=3.855 c=6.374 alpha=107.60 beta=107.60 gamma=90.00
Positions (direct):
Cu 0.250 0.750 0.500
Cu 0.750 0.250 0.500
Ca 0.000 0.000 0.000
Pt 0.390 0.390 0.780
Pt 0.610 0.610 0.220

Values from the calculation:
As for the volume: 17.1 A^3/atom. The value obtained for the energy relative to the elements is -0.30 eV/atom. As for the space group: I4/mmm.

***

[2]
The following is a PBEsol calculation of crystalline CaCuPt2 at its relaxed geometry, from Alexandria.

Unit cell a=2.813 b=4.017 c=5.796 alpha=90.00 beta=90.00 gamma=90.00
Positions (direct):
Pt 0.000 0.000 0.977
Cu 0.500 0.500 0.797
Pt 0.500 0.500 0.232
Ca 0.000 0.000 0.494

Values from the calculation:
As for the volume: 16.4 A^3/atom. The value obtained for the energy relative to the elements is -0.28 eV/atom. As for the space group: Pmm2.

***

[3]
The following is a PBEsol calculation of crystalline CaCu2Pt at its relaxed geometry, from Alexandria.

Unit cell a=3.909 b=3.970 c=3.970 alpha=90.00 beta=90.00 gamma=90.00
Positions (direct):
Pt 0.500 0.500 0.500
Cu 0.000 0.500 0.000
Cu 0.000 0.000 0.500
Ca 0.500 0.000 0.000

Values from the calculation:
As for the volume: 15.4 A^3/atom. The value obtained for the energy relative to the elements is -0.20 eV/atom. As for the space group: P4/mmm.

***

[4]
The following is a PBEsol calculation of crystalline CaCuPt2 at its relaxed geometry, from Alexandria.

Unit cell a=2.943 b=4.760 c=4.760 alpha=106.57 beta=89.97 gamma=89.97
Positions (direct):
Ca 0.500 0.500 0.500
Cu 0.500 0.000 0.000
Pt 0.000 0.000 0.500
Pt 0.000 0.500 0.000

Values from the calculation:
As for the volume: 16.0 A^3/atom. The value obtained for the energy relative to the elements is -0.33 eV/atom. As for the space group: Cmmm.

***

[5]
The following is a PBEsol calculation of crystalline CaCu2Pt at its relaxed geometry, from Alexandria.

Unit cell a=2.883 b=3.532 c=6.292 alpha=90.00 beta=90.00 gamma=90.00
Positions (direct):
Ca 0.500 0.500 0.745
Pt 0.000 0.000 0.459
Cu 0.000 0.000 0.060
Cu 0.500 0.500 0.236

Values from the calculation:
As for the volume: 16.0 A^3/atom. The value obtained for the energy relative to the elements is -0.16 eV/atom. As for the space group: Pmm2.

***

[6]
The following is a PBEsol calculation of crystalline RbCa2Cu2 at its relaxed geometry, from Alexandria.

Unit cell a=5.279 b=5.279 c=7.116 alpha=111.77 beta=111.77 gamma=90.00
Positions (direct):
Ca 0.666 0.666 0.332
Rb 0.000 0.000 0.000
Cu 0.250 0.750 0.500
Ca 0.334 0.334 0.668
Cu 0.750 0.250 0.500

Values from the calculation:
As for the volume: 33.8 A^3/atom. The value obtained for the energy relative to the elements is 0.35 eV/atom. As for the space group: I4/mmm.

***

Quick rundown of total moment, same order as above: 0.0 0.0 0.0 0.0 0.0 0.0 μB/cell